(1)
The following is a DFT calculation (PBEsol) of crystalline YZnAu at its relaxed geometry.

Computed properties:
formation energy: -683 meV/atom
DOS(E_F): 2.083 states/eV per cell

Cell lengths 3.4485, 4.4758, 4.4758 Å; angles 120.00, 90.00, 90.00 degrees
Last column: nearest neighbours and their distance in Å.
Fractional coordinates of all 3 atoms:
Zn 0.5000 0.6667 0.3333  3 Au 2.58
Au 0.5000 0.0000 0.0000  3 Zn 2.58
Y 0.0000 0.3333 0.6667  6 Au 3.11, 6 Zn 3.11, 2 Y 3.45

(2)
The following is a DFT calculation (PBEsol) of crystalline YZnAu2 at its relaxed geometry.

Computed properties:
formation energy: -572 meV/atom
DOS(E_F): 1.442 states/eV per cell

Cell lengths 4.3613, 4.3613, 4.9744 Å; angles 116.00, 116.00, 90.00 degrees
Last column: nearest neighbours and their distance in Å.
Fractional coordinates of all 4 atoms:
Y 0.5000 0.5000 0.0000  4 Zn 2.93, 8 Au 2.93-3.08
Au 0.0000 0.0000 0.0000  4 Au 2.93, 4 Zn 2.93, 4 Y 3.08
Au 0.7500 0.2500 0.5000  4 Y 2.93, 4 Au 2.93, 4 Zn 3.08
Zn 0.2500 0.7500 0.5000  4 Y 2.93, 8 Au 2.93-3.08

(3)
The following is a DFT calculation (PBEsol) of crystalline Y2ZnAu at its relaxed geometry.

Computed properties:
formation energy: -614 meV/atom
DOS(E_F): 3.028 states/eV per cell

Cell lengths 3.6743, 4.5625, 5.5173 Å; angles 90.00, 102.41, 90.00 degrees
Last column: nearest neighbours and their distance in Å.
Fractional coordinates of all 4 atoms:
Au 0.4356 0.5000 0.7816  2 Zn 2.85, 7 Y 2.92-3.08
Y 0.9862 0.0000 0.9099  3 Zn 2.97-3.09, 4 Au 2.99-3.03
Y 0.7631 0.5000 0.3449  3 Au 2.92-3.08, 4 Zn 2.97-3.03
Zn 0.3150 0.0000 0.4636  2 Au 2.85, 7 Y 2.97-3.09

Please write out number 3 again, unchanged.
The following is a DFT calculation (PBEsol) of crystalline Y2ZnAu at its relaxed geometry.

Computed properties:
formation energy: -614 meV/atom
DOS(E_F): 3.028 states/eV per cell

Cell lengths 3.6743, 4.5625, 5.5173 Å; angles 90.00, 102.41, 90.00 degrees
Last column: nearest neighbours and their distance in Å.
Fractional coordinates of all 4 atoms:
Au 0.4356 0.5000 0.7816  2 Zn 2.85, 7 Y 2.92-3.08
Y 0.9862 0.0000 0.9099  3 Zn 2.97-3.09, 4 Au 2.99-3.03
Y 0.7631 0.5000 0.3449  3 Au 2.92-3.08, 4 Zn 2.97-3.03
Zn 0.3150 0.0000 0.4636  2 Au 2.85, 7 Y 2.97-3.09